[1]
Material: CoAgN
Method: DFT, GGA-PBEsol
State: optimized geometry

Results
- Total magnetization: 1.00 μB/f.u.
- Final energy: -37.45 eV per cell
- Uncorrected formation energy: 0.85 eV per formula unit
- Energy relative to the lowest polymorph listed for this composition: 0 meV per atom

a = 2.7382 Å, b = 4.9591 Å, c = 5.2194 Å
α = 90.00°, β = 105.21°, γ = 90.00°
Atoms (fractional coordinates):
Co 0.0000 0.5000 0.0000
Co 0.0000 0.0000 0.0000
Ag 0.2405 0.2500 0.4811
Ag 0.7595 0.7500 0.5189
N 0.5430 0.7500 0.0860
N 0.4570 0.2500 0.9140

=====

[2]
Material: LiLa2CdBr
Method: DFT, GGA-PBEsol
State: optimized geometry

Results
- Total magnetization: 0.00 μB/f.u.
- Final energy: -17.88 eV per cell
- Uncorrected formation energy: -2.16 eV per formula unit

a = 4.4434 Å, b = 5.7204 Å, c = 5.7204 Å
α = 90.00°, β = 90.00°, γ = 90.00°
Atoms (fractional coordinates):
Cd 0.5000 0.5000 0.5000
Li 0.5000 0.0000 0.0000
Br 0.0000 0.0000 0.0000
La 0.0000 0.0000 0.5000
La 0.0000 0.5000 0.0000

=====

[3]
Material: Li2CaTe
Method: DFT, GGA-PBEsol
State: optimized geometry

Results
- Total magnetization: 0.00 μB/f.u.
- Final energy: -11.59 eV per cell
- Uncorrected formation energy: -2.00 eV per formula unit

a = 4.3157 Å, b = 4.3157 Å, c = 6.6557 Å
α = 108.83°, β = 108.83°, γ = 90.25°
Atoms (fractional coordinates):
Ca 0.5000 0.5000 0.0000
Te 0.0000 0.0000 0.0000
Li 0.5000 0.0000 0.5000
Li 0.0000 0.5000 0.5000

=====

[4]
Material: BeSb2As
Method: DFT, GGA-PBEsol
State: optimized geometry

Results
- Total magnetization: 0.00 μB/f.u.
- Final energy: -17.66 eV per cell
- Uncorrected formation energy: 0.56 eV per formula unit
- Energy relative to the lowest polymorph listed for this composition: 0 meV per atom

a = 3.9766 Å, b = 3.9766 Å, c = 7.5048 Å
α = 66.20°, β = 66.20°, γ = 56.17°
Atoms (fractional coordinates):
Sb 0.9432 0.9432 0.0195
Sb 0.7717 0.7717 0.7403
As 0.5318 0.5318 0.4094
Be 0.2532 0.2532 0.3308